# GeCN2

GeCN2 after structural relaxation (PBE, Alexandria via LeMat-Bulk).

Cell: 3.6932 3.6932 3.6932 Å, 60.00 60.00 60.00°
Element x y z (fractional)
Ge 0.0000 0.0000 0.0000
C 0.5000 0.5000 0.5000
N 0.2500 0.2500 0.2500
N 0.7500 0.7500 0.7500

E_form (uncorrected)   2.70 eV/atom
SG   Fm-3m, No. 225
V   35.6 Å³/cell
Energy above the most stable polymorph in this dataset   2.4243 eV per atom